# Dy2ErAl3NiAu2, relaxed, DFT PBE-GGA
# * size of the total moment: 0.0 μB/f.u.
# * E_tot: -87.883 eV per cell
data_Dy2ErAl3NiAu2
_chemical_formula_sum 'Dy4 Er2 Al6 Ni2 Au4'
_space_group_name_H-M_alt 'A m m 2'
_space_group_IT_number 38
_cell_length_a 4.074
_cell_length_b 12.362
_cell_length_c 7.147
_cell_angle_alpha 90.00
_cell_angle_beta 90.00
_cell_angle_gamma 90.00
loop_
_space_group_symop_operation_xyz
'x,y,z'
'-x,-y,z'
'-x,y,z'
'x,-y,z'
'x,y+1/2,z+1/2'
'-x,-y+1/2,z+1/2'
'-x,y+1/2,z+1/2'
'x,-y+1/2,z+1/2'
loop_
_atom_site_label
_atom_site_fract_x
_atom_site_fract_y
_atom_site_fract_z
Dy1 0.000 0.201 0.000
Er1 0.000 0.000 0.603
Al1 0.500 0.000 0.977
Al2 0.500 0.112 0.314
Ni1 0.000 0.000 0.203
Au1 0.500 0.165 0.701